1.
The following is a PBE calculation of a relaxed InReCl2 crystal, from Alexandria.

Cell: 5.3720 5.3720 3.2310 Å, 90.00 90.00 102.35°
Closest atoms and distances in Å follow each position.
Fractional coordinates of all 4 atoms:
In1 0.0000 0.0000 0.0000  8 Cl 3.13, 2 In 3.23, 2 Re 3.37
Re1 0.5000 0.5000 0.0000  8 Cl 3.13, 2 Re 3.23, 2 In 3.37
Cl1 0.0000 0.5000 0.5000  4 Re 3.13, 4 In 3.13, 4 Cl 3.23-3.37
Cl2 0.5000 0.0000 0.5000  4 Re 3.13, 4 In 3.13, 4 Cl 3.23-3.37

Summary:
DOS(E_F): 1.37 states/eV/cell
Formation energy from raw total energies: 0.869 eV per atom

=====

2.
The following is a PBE calculation of a relaxed InRe2Cl crystal, from Alexandria.

Cell: 2.9568 2.9568 9.2839 Å, 90.00 90.00 122.90°
Closest atoms and distances in Å follow each position.
Fractional coordinates of all 4 atoms:
In1 0.0000 0.0000 0.0000  4 Re 2.81, 6 In 2.83-2.96
Re1 0.5000 0.5000 0.2615  2 Cl 2.63, 2 In 2.81, 2 Re 2.83
Re2 0.5000 0.5000 0.7385  2 Cl 2.63, 2 In 2.81, 2 Re 2.83
Cl1 0.0000 0.0000 0.5000  4 Re 2.63, 2 Cl 2.83

Summary:
DOS(E_F): 4.52 states/eV/cell
Formation energy from raw total energies: 0.986 eV per atom

=====

3.
The following is a PBE calculation of a relaxed InRe2Cl crystal, from Alexandria.

Cell: 5.5075 5.5075 5.4802 Å, 118.70 118.70 30.41°
Closest atoms and distances in Å follow each position.
Fractional coordinates of all 4 atoms:
In1 0.0000 0.0000 0.0000  2 In 2.89, 5 Re 2.91-2.95, 1 Cl 3.10
Re1 0.2410 0.2410 0.5757  2 Cl 2.50, 2 Re 2.60
Re2 0.5362 0.5362 0.5709  2 Cl 2.49, 2 Re 2.60
Cl1 0.8185 0.8185 0.3012  4 Re 2.49-2.50

Summary:
DOS(E_F): 2.33 states/eV/cell
Formation energy from raw total energies: 0.726 eV per atom

=====

4.
The following is a PBE calculation of a relaxed InReCl4 crystal, from Alexandria.

Cell: 6.0659 6.0659 6.0659 Å, 60.00 60.00 60.00°
Closest atoms and distances in Å follow each position.
Fractional coordinates of all 6 atoms:
In1 0.0000 0.0000 0.0000  12 Cl 3.56, 4 Re 3.71
Re1 0.7500 0.7500 0.7500  12 Cl 3.55, 4 In 3.71
Cl1 0.3759 0.3759 0.3759  6 Cl 3.01-3.06
Cl2 0.3759 0.3759 0.8722  6 Cl 3.01-3.06
Cl3 0.3759 0.8722 0.3759  6 Cl 3.01-3.06
Cl4 0.8722 0.3759 0.3759  6 Cl 3.01-3.06

Summary:
DOS(E_F): 1.67 states/eV/cell
Formation energy from raw total energies: 1.040 eV per atom

=====

> Which value of DOS(E_F) does entry 1 give?

1.37 states/eV/cell